1.
Compound: BaNaNi2Cl8
Source: the Alexandria database
Functional: PBE
Structure: relaxed

Structure (POSCAR):
```
BaNaNi2Cl8
1.0
-6.401 0.999 -0.235
3.317 -1.065 -5.467
-1.474 -9.232 0.904
Ba Na Ni Cl
1 1 2 8
Direct
0.000 0.000 0.000
0.000 0.000 0.500
0.667 0.333 0.236
0.333 0.667 0.764
0.333 0.667 0.999
0.319 0.295 0.287
0.705 0.024 0.287
0.667 0.333 0.001
0.295 0.976 0.713
0.681 0.705 0.713
0.024 0.319 0.713
0.976 0.681 0.287
```

Energy: -3.610 eV/atom
M_tot: 5.0 Bohr magnetons per cell
Formation energy without anion corrections: -13.74 eV per formula unit


2.
Compound: BaNaNiCl6
Source: the Alexandria database
Functional: PBE
Structure: relaxed

Structure (POSCAR):
```
BaNaNiCl6
1.0
-0.649 -4.423 -4.876
1.938 -6.684 0.758
-6.027 -1.226 2.099
Ba Na Ni Cl
1 1 1 6
Direct
0.002 0.999 0.003
0.639 0.680 0.503
0.335 0.332 0.499
0.048 0.342 0.301
0.347 0.051 0.741
0.614 0.342 0.694
0.050 0.615 0.697
0.354 0.599 0.258
0.611 0.041 0.304
```

Energy: -3.614 eV/atom
M_tot: 1.0 Bohr magnetons per cell
Formation energy without anion corrections: -12.43 eV per formula unit


3.
Compound: BaNaNpCl6
Source: the Alexandria database
Functional: PBE
Structure: relaxed

Structure (POSCAR):
```
BaNaNpCl6
1.0
7.216 0.000 0.000
-3.608 6.249 0.000
0.000 0.000 13.316
Ba Na Np Cl
2 2 2 12
Direct
0.000 0.000 0.000
0.000 0.000 0.500
0.333 0.667 0.250
0.667 0.333 0.750
0.667 0.333 0.250
0.333 0.667 0.750
0.651 0.641 0.135
0.990 0.349 0.135
0.349 0.990 0.635
0.010 0.651 0.865
0.359 0.349 0.365
0.990 0.641 0.365
0.641 0.990 0.865
0.651 0.010 0.365
0.010 0.359 0.635
0.359 0.010 0.135
0.641 0.651 0.635
0.349 0.359 0.865
```

Energy: -5.024 eV/atom
M_tot: 8.0 Bohr magnetons per cell
Formation energy without anion corrections: -17.95 eV per formula unit


4.
Compound: Ba2Na4Cl3O2
Source: the Alexandria database
Functional: PBE
Structure: relaxed

Structure (POSCAR):
```
Ba2Na4Cl3O2
1.0
-4.162 -1.720 -0.447
1.422 -3.906 1.790
-2.043 7.630 12.554
Ba Na Cl O
2 4 3 2
Direct
0.333 0.333 0.665
0.667 0.667 0.335
0.435 0.935 0.871
0.935 0.435 0.871
0.065 0.565 0.129
0.565 0.065 0.129
0.000 0.000 0.000
0.146 0.146 0.292
0.854 0.854 0.708
0.414 0.414 0.828
0.586 0.586 0.172
```

Energy: -3.957 eV/atom
M_tot: 0.0 Bohr magnetons per cell
Formation energy without anion corrections: -18.95 eV per formula unit


- Which value of energy does entry 1 give?
  -3.610 eV/atom


- Among the records above, which one has the lowest M_tot?
  Ba2Na4Cl3O2


- The lowest energy belongs to which entry?
  BaNaNpCl6


Please write out number 4 again, unchanged.
Compound: Ba2Na4Cl3O2
Source: the Alexandria database
Functional: PBE
Structure: relaxed

Structure (POSCAR):
```
Ba2Na4Cl3O2
1.0
-4.162 -1.720 -0.447
1.422 -3.906 1.790
-2.043 7.630 12.554
Ba Na Cl O
2 4 3 2
Direct
0.333 0.333 0.665
0.667 0.667 0.335
0.435 0.935 0.871
0.935 0.435 0.871
0.065 0.565 0.129
0.565 0.065 0.129
0.000 0.000 0.000
0.146 0.146 0.292
0.854 0.854 0.708
0.414 0.414 0.828
0.586 0.586 0.172
```

Energy: -3.957 eV/atom
M_tot: 0.0 Bohr magnetons per cell
Formation energy without anion corrections: -18.95 eV per formula unit